# LaY2AlO

A relaxed structure of LaY2AlO (PBE-GGA, Alexandria via LeMat-Bulk).

## Properties
theoretical density: 5.228 g/cm³
energy relative to the elements, uncorrected: -1.3301 eV/atom
magnetic moment: 0.000 μB/atom
E_tot: -6.64 eV/atom

abc: 4.782 4.782 4.996
angles: 90.00 90.00 90.00
Space group P4/mmm (No. 123)
Inequivalent atoms, fractional coordinates:
La1 0.000 0.000 0.000 (multiplicity 1)
Y1 0.000 0.500 0.500 (multiplicity 2)
Al1 0.500 0.500 0.000 (multiplicity 1)
O1 0.000 0.000 0.500 (multiplicity 1)

# LaAlZnO2

A relaxed structure of LaAlZnO2 (PBE-GGA, Alexandria via LeMat-Bulk).

## Properties
theoretical density: 3.192 g/cm³
energy relative to the elements, uncorrected: -0.7621 eV/atom
magnetic moment: 0.000 μB/atom
E_tot: -4.73 eV/atom

abc: 4.336 4.336 7.283
angles: 90.00 90.00 90.00
Space group P4/mmm (No. 123)
Inequivalent atoms, fractional coordinates:
La1 0.000 0.000 0.000 (multiplicity 1)
Al1 0.000 0.000 0.500 (multiplicity 1)
Zn1 0.500 0.500 0.500 (multiplicity 1)
O1 0.000 0.500 0.000 (multiplicity 2)

# LaAlOs2

A relaxed structure of LaAlOs2 (PBE-GGA, Alexandria via LeMat-Bulk).

## Properties
theoretical density: 11.745 g/cm³
magnetic moment: 0.000 μB/atom
E above lowest polymorph: 127.6 meV per atom
formation enthalpy at 0 K: 0.11 eV/atom
E_tot: -7.67 eV/atom

abc: 2.913 4.277 6.300
angles: 90.00 100.26 90.00
Space group Pm (No. 6)
Inequivalent atoms, fractional coordinates:
La1 0.000 0.000 0.000 (multiplicity 1)
Al1 0.386 0.500 0.686 (multiplicity 1)
Os1 0.406 0.000 0.457 (multiplicity 1)
Os2 0.793 0.500 0.336 (multiplicity 1)

# LaAlOs2

A relaxed structure of LaAlOs2 (PBE-GGA, Alexandria via LeMat-Bulk).

## Properties
theoretical density: 12.401 g/cm³
magnetic moment: 0.000 μB/atom
E above lowest polymorph: 0.0 meV per atom
formation enthalpy at 0 K: -0.02 eV/atom
E_tot: -7.80 eV/atom

abc: 2.931 2.931 8.514
angles: 90.00 90.00 90.00
Space group P4mm (No. 99)
Inequivalent atoms, fractional coordinates:
La1 0.000 0.000 0.000 (multiplicity 1)
Al1 0.500 0.500 0.683 (multiplicity 1)
Os1 0.000 0.000 0.479 (multiplicity 1)
Os2 0.500 0.500 0.290 (multiplicity 1)

# LaAlOs2

A relaxed structure of LaAlOs2 (PBE-GGA, Alexandria via LeMat-Bulk).

## Properties
theoretical density: 12.687 g/cm³
magnetic moment: 0.000 μB/atom
E above lowest polymorph: 541.9 meV per atom
formation enthalpy at 0 K: 0.52 eV/atom
E_tot: -7.26 eV/atom

abc: 2.994 4.878 9.792
angles: 90.00 90.00 90.00
Space group Cmm2 (No. 35)
Inequivalent atoms, fractional coordinates:
La1 0.000 0.000 0.000 (multiplicity 2)
Al1 0.000 0.500 0.701 (multiplicity 2)
Os1 0.000 0.000 0.489 (multiplicity 2)
Os2 0.000 0.500 0.267 (multiplicity 2)

# LaAlOs

A relaxed structure of LaAlOs (PBE-GGA, Alexandria via LeMat-Bulk).

## Properties
theoretical density: 7.790 g/cm³
magnetic moment: 0.000 μB/atom
formation enthalpy at 0 K: 0.99 eV/atom
E_tot: -5.65 eV/atom

abc: 6.721 6.721 6.721
angles: 90.00 90.00 90.00
Space group F-43m (No. 216)
Inequivalent atoms, fractional coordinates:
La1 0.000 0.000 0.000 (multiplicity 4)
Al1 0.250 0.250 0.250 (multiplicity 4)
Os1 0.250 0.250 0.750 (multiplicity 4)